(1)
Hf2AlPd3: relaxed, PBE.

Calculated values
The calculation puts the offset from the most stable computed form at 6.22 kcal/mol of atoms. For the formation energy, the calculation gives -2.8 eV/f.u. The density of states at the Fermi level comes out at 2.94 states/eV/f.u. The electronic total energy is -7.011 eV/atom.

a b c (Å): 4.2925 5.1540 6.0794
angles (deg): 115.08 110.67 90.00
Fractional positions:
Hf: 0.6924 0.1924 0.3847
Hf: 0.3076 0.8076 0.6153
Al: 0.0000 0.5000 0.0000
Pd: 0.3654 0.3654 0.7308
Pd: 0.0000 0.0000 0.0000
Pd: 0.6346 0.6346 0.2692


(2)
AlNiPd3: relaxed, PBE.

Calculated values
The calculation puts the offset from the most stable computed form at 0.00 kcal/mol of atoms. For the formation energy, the calculation gives 2.4 eV/f.u. The density of states at the Fermi level comes out at 4.78 states/eV/f.u. The electronic total energy is -4.546 eV/atom.

a b c (Å): 4.5134 4.5134 4.5134
angles (deg): 90.00 90.00 90.00
Site moments in Bohr magnetons follow the coordinates.
Fractional positions:
Ni: 0.5000 0.5000 0.5000  0.95
Al: 0.0000 0.0000 0.0000  0.01
Pd: 0.0000 0.5000 0.0000  -0.01
Pd: 0.0000 0.0000 0.5000  0.03
Pd: 0.5000 0.0000 0.0000  0.00


(3)
Sr3LiRh: relaxed, PBE.

Calculated values
The calculation puts the offset from the most stable computed form at 1.00 kcal/mol of atoms. For the formation energy, the calculation gives -0.5 eV/f.u. The density of states at the Fermi level comes out at 3.83 states/eV/f.u. The electronic total energy is -2.966 eV/atom.

a b c (Å): 5.8682 5.8682 5.8682
angles (deg): 90.00 90.00 90.00
Fractional positions:
Sr: 0.0000 0.5000 0.0000
Sr: 0.0000 0.0000 0.5000
Sr: 0.5000 0.0000 0.0000
Rh: 0.0000 0.0000 0.0000
Li: 0.5000 0.5000 0.5000


(4)
UInNi: relaxed, PBE.

Calculated values
For the formation energy, the calculation gives -0.1 eV/f.u. The density of states at the Fermi level comes out at 5.46 states/eV/f.u. The electronic total energy is -6.632 eV/atom.

a b c (Å): 3.0752 3.0752 6.3937
angles (deg): 103.92 103.92 90.00
Site moments in Bohr magnetons follow the coordinates.
Fractional positions:
Ni: 0.6678 0.6678 0.3357  -0.08
U: 0.3098 0.3098 0.6196  1.65
In: 0.0224 0.0224 0.0447  -0.03


(5)
Mn5C3: relaxed, PBE.

Calculated values
The calculation puts the offset from the most stable computed form at 4.87 kcal/mol of atoms. For the formation energy, the calculation gives 3.0 eV/f.u. The density of states at the Fermi level comes out at 4.90 states/eV/f.u. The electronic total energy is -8.811 eV/atom.

a b c (Å): 2.5200 2.5200 10.8554
angles (deg): 90.00 90.00 90.00
Site moments in Bohr magnetons follow the coordinates.
Fractional positions:
Mn: 0.0000 0.0000 0.0000  2.21
Mn: 0.0000 0.0000 0.2226  0.35
Mn: 0.0000 0.0000 0.7774  0.35
Mn: 0.5000 0.5000 0.3951  -0.46
Mn: 0.5000 0.5000 0.6049  -0.46
C: 0.0000 0.0000 0.5000  0.06
C: 0.5000 0.5000 0.1395  -0.11
C: 0.5000 0.5000 0.8605  -0.11


(6)
PmY2In4: relaxed, PBE.

Calculated values
For the formation energy, the calculation gives -2.2 eV/f.u. The density of states at the Fermi level comes out at 5.93 states/eV/f.u. The electronic total energy is -4.411 eV/atom.

a b c (Å): 5.3185 5.3185 8.2344
angles (deg): 108.84 108.84 90.00
Fractional positions:
Pm: 0.0000 0.0000 0.0000
Y: 0.7464 0.7464 0.4927
Y: 0.2536 0.2536 0.5073
In: 0.3801 0.8801 0.7602
In: 0.8801 0.3801 0.7602
In: 0.6199 0.1199 0.2398
In: 0.1199 0.6199 0.2398


> The lowest electronic total energy belongs to which entry?

Mn5C3


> Which of these has the lowest electronic total energy?

Mn5C3


> electronic total energy of number 2 (AlNiPd3)?

-4.546 eV/atom


> The highest electronic total energy belongs to which entry?

Sr3LiRh